The following is a DFT calculation (PBE-GGA) of an optimized crystal structure of Al4InS7.

CIF file:
```
data_Al4InS7
_chemical_formula_sum 'Al8 In2 S14'
_cell_length_a 15.2630
_cell_length_b 6.4426
_cell_length_c 6.0777
_cell_angle_alpha 90.00
_cell_angle_beta 90.00
_cell_angle_gamma 90.00
_space_group_name_H-M_alt 'P m n 21'
_space_group_IT_number 31
loop_
_space_group_symop_operation_xyz
'x,y,z'
'-x+1/2,-y,z+1/2'
'-x,y,z'
'x+1/2,-y,z+1/2'
loop_
_atom_site_label
_atom_site_type_symbol
_atom_site_fract_x
_atom_site_fract_y
_atom_site_fract_z
Al1 Al 0.1242 0.1569 0.0000
Al2 Al 0.2441 0.6789 0.9909
In1 In 0.0000 0.4327 0.4888
S1 S 0.0000 0.3402 0.9162
S2 S 0.1231 0.8331 0.8819
S3 S 0.1275 0.1767 0.3774
S4 S 0.2446 0.3386 0.8719
```

Summary:
E_form (uncorrected) (meV per atom): -906.1
V (Å³/f.u.): 298.8
D(E_F) (states/eV/atom): 0.0861
Uncorrected energy (eV/cell): -114.9



The following is a DFT calculation (PBE-GGA) of an optimized crystal structure of Tb2ReWN6.

CIF file:
```
data_Tb2ReWN6
_chemical_formula_sum 'Tb4 Re2 W2 N12'
_cell_length_a 5.4528
_cell_length_b 5.6359
_cell_length_c 9.4867
_cell_angle_alpha 90.00
_cell_angle_beta 124.94
_cell_angle_gamma 90.00
_space_group_name_H-M_alt 'P 1 21/c 1'
_space_group_IT_number 14
loop_
_space_group_symop_operation_xyz
'x,y,z'
'-x,-y,-z'
'-x,y+1/2,-z+1/2'
'x,-y+1/2,z+1/2'
loop_
_atom_site_label
_atom_site_type_symbol
_atom_site_fract_x
_atom_site_fract_y
_atom_site_fract_z
Tb1 Tb 0.2387 0.0573 0.2502
Re1 Re 0.0000 0.0000 0.5000
W1 W 0.5000 0.0000 0.0000
N1 N 0.1565 0.2061 0.9549
N2 N 0.2504 0.7036 0.9551
N3 N 0.3324 0.0182 0.7483
```

Summary:
E_form (uncorrected) (meV per atom): -829.5
V (Å³/f.u.): 119.5
D(E_F) (states/eV/atom): 0.2705
Uncorrected energy (eV/cell): -185.8



The following is a DFT calculation (PBE-GGA) of an optimized crystal structure of Zn2Bi2N.

CIF file:
```
data_Zn2Bi2N
_chemical_formula_sum 'Zn4 Bi4 N2'
_cell_length_a 3.4468
_cell_length_b 3.4468
_cell_length_c 17.1780
_cell_angle_alpha 90.00
_cell_angle_beta 90.00
_cell_angle_gamma 90.00
_space_group_name_H-M_alt 'I 4/m m m'
_space_group_IT_number 139
_space_group_name_Hall '-I 4 2'
loop_
_atom_site_label
_atom_site_type_symbol
_atom_site_fract_x
_atom_site_fract_y
_atom_site_fract_z
Zn1 Zn 0.0000 0.5000 0.2500
Bi1 Bi 0.0000 0.0000 0.0872
N1 N 0.0000 0.0000 0.5000
```

Summary:
E_form (uncorrected) (meV per atom): 753.5
V (Å³/f.u.): 102.0
ΔE to the lowest computed polymorph (kJ/mol of formula units): 32
D(E_F) (states/eV/atom): 0.5440
Uncorrected energy (eV/cell): -29.7



The following is a DFT calculation (PBE-GGA) of an optimized crystal structure of Rb2CdCl.

CIF file:
```
data_Rb2CdCl
_chemical_formula_sum 'Rb2 Cd1 Cl1'
_cell_length_a 4.0638
_cell_length_b 4.0638
_cell_length_c 9.3926
_cell_angle_alpha 90.00
_cell_angle_beta 90.00
_cell_angle_gamma 90.00
_space_group_name_H-M_alt 'P 4/m m m'
_space_group_IT_number 123
_space_group_name_Hall '-P 4 2'
loop_
_atom_site_label
_atom_site_type_symbol
_atom_site_fract_x
_atom_site_fract_y
_atom_site_fract_z
Rb1 Rb 0.0000 0.0000 0.2091
Cd1 Cd 0.5000 0.5000 0.5000
Cl1 Cl 0.5000 0.5000 0.0000
```

Summary:
E_form (uncorrected) (meV per atom): -879.8
V (Å³/f.u.): 155.1
ΔE to the lowest computed polymorph (kJ/mol of formula units): 0
D(E_F) (states/eV/atom): 0.5805
Uncorrected energy (eV/cell): -8.2



The following is a DFT calculation (PBE-GGA) of an optimized crystal structure of YMgTlTe3.

CIF file:
```
data_YMgTlTe3
_chemical_formula_sum 'Y2 Mg2 Tl2 Te6'
_cell_length_a 9.5144
_cell_length_b 4.4988
_cell_length_c 10.4990
_cell_angle_alpha 90.00
_cell_angle_beta 106.28
_cell_angle_gamma 90.00
_space_group_name_H-M_alt 'P 1 21/m 1'
_space_group_IT_number 11
loop_
_space_group_symop_operation_xyz
'x,y,z'
'-x,-y,-z'
'-x,y+1/2,-z'
'x,-y+1/2,z'
loop_
_atom_site_label
_atom_site_type_symbol
_atom_site_fract_x
_atom_site_fract_y
_atom_site_fract_z
Y1 Y 0.1696 0.2500 0.1372
Mg1 Mg 0.4185 0.7500 0.3913
Tl1 Tl 0.2958 0.7500 0.7820
Te1 Te 0.0439 0.2500 0.8353
Te2 Te 0.2786 0.2500 0.4616
Te3 Te 0.3923 0.7500 0.1220
```

Summary:
E_form (uncorrected) (meV per atom): -970.7
V (Å³/f.u.): 215.7
D(E_F) (states/eV/atom): 0.0000
Uncorrected energy (eV/cell): -51.3



The following is a DFT calculation (PBE-GGA) of an optimized crystal structure of Y5Cr.

CIF file:
```
data_Y5Cr
_chemical_formula_sum 'Y5 Cr1'
_cell_length_a 6.3544
_cell_length_b 6.3544
_cell_length_c 5.8115
_cell_angle_alpha 90.00
_cell_angle_beta 90.00
_cell_angle_gamma 120.00
_space_group_name_H-M_alt 'P 6/m m m'
_space_group_IT_number 191
_space_group_name_Hall '-P 6 2'
loop_
_atom_site_label
_atom_site_type_symbol
_atom_site_fract_x
_atom_site_fract_y
_atom_site_fract_z
Y1 Y 0.0000 0.5000 0.0000
Y2 Y 0.3333 0.6667 0.5000
Cr1 Cr 0.0000 0.0000 0.5000
```

Summary:
V (Å³/f.u.): 203.2
ΔE to the lowest computed polymorph (kJ/mol of formula units): 360
D(E_F) (states/eV/atom): 1.4124
Uncorrected energy (eV/cell): -37.3
Energy of formation (eV per atom): 0.772



The following is a DFT calculation (PBE-GGA) of an optimized crystal structure of LiSn2Pt2.

CIF file:
```
data_LiSn2Pt2
_chemical_formula_sum 'Li2 Sn4 Pt4'
_cell_length_a 5.4108
_cell_length_b 4.4657
_cell_length_c 8.3670
_cell_angle_alpha 90.00
_cell_angle_beta 104.12
_cell_angle_gamma 90.00
_space_group_name_H-M_alt 'P 1 21/m 1'
_space_group_IT_number 11
loop_
_space_group_symop_operation_xyz
'x,y,z'
'-x,-y,-z'
'-x,y+1/2,-z'
'x,-y+1/2,z'
loop_
_atom_site_label
_atom_site_type_symbol
_atom_site_fract_x
_atom_site_fract_y
_atom_site_fract_z
Li1 Li 0.1111 0.2500 0.2364
Sn1 Sn 0.2109 0.2500 0.5936
Sn2 Sn 0.3467 0.7500 0.0823
Pt1 Pt 0.1502 0.2500 0.9083
Pt2 Pt 0.2935 0.7500 0.4146
```

Summary:
V (Å³/f.u.): 98.0
ΔE to the lowest computed polymorph (kJ/mol of formula units): 11
D(E_F) (states/eV/atom): 0.2144
Uncorrected energy (eV/cell): -49.5
Energy of formation (eV per atom): -0.551



The following is a DFT calculation (PBE-GGA) of an optimized crystal structure of K2LiP.

CIF file:
```
data_K2LiP
_chemical_formula_sum 'K2 Li1 P1'
_cell_length_a 4.7309
_cell_length_b 4.7309
_cell_length_c 4.9848
_cell_angle_alpha 90.00
_cell_angle_beta 90.00
_cell_angle_gamma 90.00
_space_group_name_H-M_alt 'P 4/m m m'
_space_group_IT_number 123
_space_group_name_Hall '-P 4 2'
loop_
_atom_site_label
_atom_site_type_symbol
_atom_site_fract_x
_atom_site_fract_y
_atom_site_fract_z
K1 K 0.0000 0.5000 0.0000
Li1 Li 0.0000 0.0000 0.5000
P1 P 0.5000 0.5000 0.5000
```

Summary:
V (Å³/f.u.): 111.6
D(E_F) (states/eV/atom): 0.3015
Uncorrected energy (eV/cell): -9.4
Energy of formation (eV per atom): 0.040



The following is a DFT calculation (PBE-GGA) of an optimized crystal structure of Ti2TlPt.

CIF file:
```
data_Ti2TlPt
_chemical_formula_sum 'Ti8 Tl4 Pt4'
_cell_length_a 7.3353
_cell_length_b 7.3353
_cell_length_c 5.9572
_cell_angle_alpha 90.00
_cell_angle_beta 90.00
_cell_angle_gamma 90.00
_space_group_name_H-M_alt 'I -4 2 d'
_space_group_IT_number 122
_space_group_name_Hall 'I -4 2bw'
loop_
_atom_site_label
_atom_site_type_symbol
_atom_site_fract_x
_atom_site_fract_y
_atom_site_fract_z
Ti1 Ti 0.2079 0.2500 0.1250
Tl1 Tl 0.0000 0.0000 0.5000
Pt1 Pt 0.0000 0.0000 0.0000
```

Summary:
V (Å³/f.u.): 80.1
ΔE to the lowest computed polymorph (kJ/mol of formula units): 71
D(E_F) (states/eV/atom): 2.0507
Uncorrected energy (eV/cell): -97.4
Energy of formation (eV per atom): -0.037



The following is a DFT calculation (PBE-GGA) of an optimized crystal structure of MnIn2Ru.

CIF file:
```
data_MnIn2Ru
_chemical_formula_sum 'Mn2 In4 Ru2'
_cell_length_a 4.0111
_cell_length_b 4.0111
_cell_length_c 8.7814
_cell_angle_alpha 90.00
_cell_angle_beta 90.00
_cell_angle_gamma 90.00
_space_group_name_H-M_alt 'I -4 m 2'
_space_group_IT_number 119
_space_group_name_Hall 'I -4 -2'
loop_
_atom_site_label
_atom_site_type_symbol
_atom_site_fract_x
_atom_site_fract_y
_atom_site_fract_z
Mn1 Mn 0.0000 0.0000 0.0000
In1 In 0.0000 0.0000 0.5000
In2 In 0.0000 0.5000 0.2500
Ru1 Ru 0.0000 0.5000 0.7500
```

Summary:
V (Å³/f.u.): 70.6
ΔE to the lowest computed polymorph (kJ/mol of formula units): 21
D(E_F) (states/eV/atom): 0.7193
Uncorrected energy (eV/cell): -46.4
Energy of formation (eV per atom): 0.181



The following is a DFT calculation (PBE-GGA) of an optimized crystal structure of Ba2PmSmS4.

CIF file:
```
data_Ba2PmSmS4
_chemical_formula_sum 'Ba2 Pm1 Sm1 S4'
_cell_length_a 7.2637
_cell_length_b 4.2050
_cell_length_c 7.5644
_cell_angle_alpha 90.00
_cell_angle_beta 108.76
_cell_angle_gamma 90.00
_space_group_name_H-M_alt 'P 1 2/m 1'
_space_group_IT_number 10
loop_
_space_group_symop_operation_xyz
'x,y,z'
'-x,-y,-z'
'-x,y,-z'
'x,-y,z'
loop_
_atom_site_label
_atom_site_type_symbol
_atom_site_fract_x
_atom_site_fract_y
_atom_site_fract_z
Ba1 Ba 0.0000 0.0000 0.0000
Ba2 Ba 0.5000 0.5000 0.0000
Pm1 Pm 0.0000 0.5000 0.5000
Sm1 Sm 0.5000 0.0000 0.5000
S1 S 0.2405 0.0000 0.7172
S2 S 0.2620 0.5000 0.2834
```

Summary:
E_form (uncorrected) (meV per atom): -2022.4
V (Å³/f.u.): 218.8
D(E_F) (states/eV/atom): 0.4533
Uncorrected energy (eV/cell): -46.0



The following is a DFT calculation (PBE-GGA) of an optimized crystal structure of Sc2TcIr.

CIF file:
```
data_Sc2TcIr
_chemical_formula_sum 'Sc2 Tc1 Ir1'
_cell_length_a 3.4933
_cell_length_b 3.4933
_cell_length_c 5.8767
_cell_angle_alpha 90.00
_cell_angle_beta 90.00
_cell_angle_gamma 90.00
_space_group_name_H-M_alt 'P 4 m m'
_space_group_IT_number 99
loop_
_space_group_symop_operation_xyz
'x,y,z'
'-y,x,z'
'-x,-y,z'
'y,-x,z'
'-x,y,z'
'y,x,z'
'x,-y,z'
'-y,-x,z'
loop_
_atom_site_label
_atom_site_type_symbol
_atom_site_fract_x
_atom_site_fract_y
_atom_site_fract_z
Sc1 Sc 0.0000 0.0000 0.0000
Sc2 Sc 0.5000 0.5000 0.3336
Tc1 Tc 0.0000 0.0000 0.5314
Ir1 Ir 0.5000 0.5000 0.8119
```

Summary:
V (Å³/f.u.): 71.7
D(E_F) (states/eV/atom): 1.2318
Uncorrected energy (eV/cell): -32.4
Energy of formation (eV per atom): -0.131